Compound: TaCoW2
Source: the Alexandria database
Functional: PBE-GGA
Structure: optimized geometry

Calculated values
The total moment is 0.0 μB/f.u. Its total energy is -10.9509 eV per atom. As for the energy of formation from the pure elements: 265 meV per atom. As for the distance to the lowest polymorph of the same formula: 239 meV/atom.

abc: 4.4257 4.4257 4.4257
angles: 60.00 60.00 60.00
Sites, in units of the cell vectors:
Ta  0.5000  0.5000  0.5000
W  0.7500  0.7500  0.7500
W  0.2500  0.2500  0.2500
Co  0.0000  0.0000  0.0000